Record 1
CoPd2W, relaxed, DFT PBE; SG = F-43m; formation energy = 0.82 eV/f.u.; V = 57 Å³/cell
1.0
0.000 3.055 3.055
3.055 0.000 3.055
3.055 3.055 0.000
Co Pd W
1 2 1
Direct
0.000 0.000 0.000
0.250 0.250 0.250
0.500 0.500 0.500
0.750 0.750 0.750



Record 2
LiFeHgB, relaxed, DFT PBE; SG = F-43m; energy above the lowest structure with this stoichiometry = 50 meV/atom; V = 52 Å³/cell
1.0
0.000 2.966 2.966
2.966 0.000 2.966
2.966 2.966 0.000
Li Fe Hg B
1 1 1 1
Direct
0.000 0.000 0.000
0.500 0.500 0.500
0.750 0.750 0.750
0.250 0.250 0.250



no.,M_tot (μB per cell)
1,1.066
2,2.352